(A)
Entry from Alexandria: a geometry-optimized Ba2TcRu structure (PBE).

Unit cell a=9.8974 b=9.8974 c=9.8974 alpha=21.08 beta=21.08 gamma=21.08
Last column: nearest neighbours and their distance in Å.
Fractional coordinates of all 4 atoms:
Ba 0.5042 0.5042 0.5042  3 Ru 3.11, 3 Tc 3.29
Tc 0.7500 0.7500 0.7500  6 Ba 3.29, 6 Tc 3.62
Ru 0.2500 0.2500 0.2500  6 Ba 3.11
Ba 0.9958 0.9958 0.9958  3 Ru 3.11, 3 Tc 3.29

Output
crystal system = trigonal
space-group type = R-3m, No. 166
N(E_F) = 3.2 states/eV per cell

---

(B)
Entry from Alexandria: a geometry-optimized Ba2TcRu structure (PBE).

Unit cell a=4.0892 b=3.5136 c=9.4369 alpha=76.00 beta=90.00 gamma=90.00
Last column: nearest neighbours and their distance in Å.
Fractional coordinates of all 4 atoms:
Ba 0.5000 0.2458 0.3525  1 Tc 3.01, 2 Ru 3.32
Ru 0.0000 0.5149 0.5881  2 Tc 2.37
Tc 0.5000 0.7501 0.6605  2 Ru 2.37
Ba 0.0000 0.9892 0.8988  1 Ru 3.06, 2 Tc 3.30

Output
crystal system = monoclinic
space-group type = Pm, No. 6
N(E_F) = 4.8 states/eV per cell

---

(B) ends up most stable, edging out the next structure by 0.787 eV/atom.

---

(A)
Entry from Alexandria: a geometry-optimized Ba2Tc2Ru structure (PBE).

Unit cell a=3.5109 b=3.5109 c=10.7341 alpha=80.59 beta=80.59 gamma=90.00
Last column: nearest neighbours and their distance in Å.
Fractional coordinates of all 5 atoms:
Ru 0.0000 0.0000 0.0000  8 Ba 3.21, 4 Ru 3.51
Tc 0.7500 0.2500 0.5000  4 Tc 2.48
Ba 0.4028 0.4028 0.1944  4 Ru 3.21, 4 Ba 3.51
Ba 0.5972 0.5972 0.8056  4 Ru 3.21, 4 Ba 3.51
Tc 0.2500 0.7500 0.5000  4 Tc 2.48

Output
crystal system = tetragonal
space-group type = I4/mmm, No. 139
N(E_F) = 6.6 states/eV per cell

---

(B)
Entry from Alexandria: a geometry-optimized Ba2Tc2Ru structure (PBE).

Unit cell a=9.4139 b=9.4139 c=3.1378 alpha=90.00 beta=90.00 gamma=90.00
Last column: nearest neighbours and their distance in Å.
Fractional coordinates of all 10 atoms:
Ru 0.5000 0.5000 0.0000  2 Ru 3.14, 4 Ba 3.38
Ba 0.2943 0.7943 0.0000  2 Ba 3.14, 6 Tc 3.25-3.33, 2 Ru 3.38
Ru 0.0000 0.0000 0.0000  2 Ru 3.14, 4 Ba 3.38
Ba 0.2057 0.2943 0.0000  2 Ba 3.14, 6 Tc 3.25-3.33, 2 Ru 3.38
Tc 0.5802 0.9198 0.5000  1 Tc 2.14
Ba 0.7943 0.7057 0.0000  2 Ba 3.14, 6 Tc 3.25-3.33, 2 Ru 3.38
Tc 0.0802 0.5802 0.5000  1 Tc 2.14
Ba 0.7057 0.2057 0.0000  2 Ba 3.14, 6 Tc 3.25-3.33, 2 Ru 3.38
Tc 0.4198 0.0802 0.5000  1 Tc 2.14
Tc 0.9198 0.4198 0.5000  1 Tc 2.14

Output
crystal system = tetragonal
space-group type = P4/mbm, No. 127
N(E_F) = 17.2 states/eV per cell

---

(A) ends up most stable, edging out the next structure by 0.644 eV/atom.

---

(A)
Entry from Alexandria: a geometry-optimized BaTcRu3 structure (PBE).

Unit cell a=4.7846 b=4.7846 c=4.7846 alpha=90.00 beta=90.00 gamma=90.00
Last column: nearest neighbours and their distance in Å.
Fractional coordinates of all 5 atoms:
Ru 0.5000 0.0000 0.0000  2 Tc 2.39
Ba 0.5000 0.5000 0.5000  12 Ru 3.38
Ru 0.0000 0.0000 0.5000  2 Tc 2.39
Tc 0.0000 0.0000 0.0000  6 Ru 2.39
Ru 0.0000 0.5000 0.0000  2 Tc 2.39

Output
crystal system = cubic
space-group type = Pm-3m, No. 221
N(E_F) = 7.0 states/eV per cell

---

(B)
Entry from Alexandria: a geometry-optimized BaTcRu3 structure (PBE).

Unit cell a=4.8417 b=4.8417 c=4.8417 alpha=90.00 beta=90.00 gamma=90.00
Last column: nearest neighbours and their distance in Å.
Fractional coordinates of all 5 atoms:
Tc 0.5000 0.5000 0.5000  12 Ru 3.42
Ru 0.5000 0.0000 0.0000  2 Ba 2.42
Ru 0.0000 0.0000 0.5000  2 Ba 2.42
Ba 0.0000 0.0000 0.0000  6 Ru 2.42
Ru 0.0000 0.5000 0.0000  2 Ba 2.42

Output
crystal system = cubic
space-group type = Pm-3m, No. 221
N(E_F) = 18.4 states/eV per cell

---

(A) ends up most stable, edging out the next structure by 2.222 eV/atom.

---

(A)
Entry from Alexandria: a geometry-optimized Ba2TeRu2 structure (PBE).

Unit cell a=9.6471 b=9.6471 c=3.3598 alpha=90.00 beta=90.00 gamma=90.00
Last column: nearest neighbours and their distance in Å.
Fractional coordinates of all 10 atoms:
Ba 0.6910 0.1910 0.0000  6 Ru 3.30-3.52, 2 Ba 3.36, 2 Te 3.50
Ba 0.8090 0.6910 0.0000  6 Ru 3.30-3.52, 2 Ba 3.36, 2 Te 3.50
Te 0.0000 0.0000 0.0000  2 Te 3.36, 4 Ba 3.50
Ru 0.0821 0.5821 0.5000  1 Ru 2.24
Ru 0.4179 0.0821 0.5000  1 Ru 2.24
Ru 0.5821 0.9179 0.5000  1 Ru 2.24
Ru 0.9179 0.4179 0.5000  1 Ru 2.24
Ba 0.1910 0.3090 0.0000  6 Ru 3.30-3.52, 2 Ba 3.36, 2 Te 3.50
Te 0.5000 0.5000 0.0000  2 Te 3.36, 4 Ba 3.50
Ba 0.3090 0.8090 0.0000  6 Ru 3.30-3.52, 2 Ba 3.36, 2 Te 3.50

Output
crystal system = tetragonal
space-group type = P4/mbm, No. 127
N(E_F) = 13.4 states/eV per cell

---

(B)
Entry from Alexandria: a geometry-optimized Ba2TeRu2 structure (PBE).

Unit cell a=3.7800 b=3.7800 c=10.3584 alpha=79.49 beta=79.49 gamma=90.00
Last column: nearest neighbours and their distance in Å.
Fractional coordinates of all 5 atoms:
Ba 0.3894 0.3894 0.2211  4 Ru 3.37, 4 Te 3.47
Ba 0.6106 0.6106 0.7789  4 Ru 3.37, 4 Te 3.47
Ru 0.7500 0.2500 0.5000  4 Ru 2.67
Te 0.0000 0.0000 0.0000  8 Ba 3.47, 4 Te 3.78
Ru 0.2500 0.7500 0.5000  4 Ru 2.67

Output
crystal system = tetragonal
space-group type = I4/mmm, No. 139
N(E_F) = 5.7 states/eV per cell

---

(B) ends up most stable, edging out the next structure by 0.557 eV/atom.

---

(A)
Entry from Alexandria: a geometry-optimized BaTi3Ru structure (PBE).

Unit cell a=4.8483 b=4.8483 c=4.8483 alpha=90.00 beta=90.00 gamma=90.00
Last column: nearest neighbours and their distance in Å.
Fractional coordinates of all 5 atoms:
Ti 0.5000 0.0000 0.0000  2 Ba 2.42
Ti 0.0000 0.5000 0.0000  2 Ba 2.42
Ti 0.0000 0.0000 0.5000  2 Ba 2.42
Ba 0.0000 0.0000 0.0000  6 Ti 2.42
Ru 0.5000 0.5000 0.5000  12 Ti 3.43

Output
crystal system = cubic
space-group type = Pm-3m, No. 221
N(E_F) = 10.0 states/eV per cell

---

(B)
Entry from Alexandria: a geometry-optimized BaTi3Ru structure (PBE).

Unit cell a=4.9093 b=4.9093 c=4.9093 alpha=90.00 beta=90.00 gamma=90.00
Last column: nearest neighbours and their distance in Å.
Fractional coordinates of all 5 atoms:
Ru 0.0000 0.0000 0.0000  6 Ti 2.45
Ti 0.5000 0.0000 0.0000  2 Ru 2.45
Ti 0.0000 0.0000 0.5000  2 Ru 2.45
Ba 0.5000 0.5000 0.5000  12 Ti 3.47
Ti 0.0000 0.5000 0.0000  2 Ru 2.45

Output
crystal system = cubic
space-group type = Pm-3m, No. 221
N(E_F) = 9.4 states/eV per cell

---

(B) ends up most stable, edging out the next structure by 1.821 eV/atom.

---

(A)
Entry from Alexandria: a geometry-optimized BaTi2Ru2 structure (PBE).

Unit cell a=4.2151 b=4.2151 c=6.7052 alpha=71.68 beta=71.68 gamma=90.00
Last column: nearest neighbours and their distance in Å.
Fractional coordinates of all 5 atoms:
Ba 0.0000 0.0000 0.0000  8 Ru 3.36, 8 Ti 3.67
Ru 0.6295 0.6295 0.7410  4 Ti 2.56
Ti 0.2500 0.7500 0.5000  4 Ru 2.56
Ti 0.7500 0.2500 0.5000  4 Ru 2.56
Ru 0.3705 0.3705 0.2590  4 Ti 2.56

Output
crystal system = tetragonal
space-group type = I4/mmm, No. 139
N(E_F) = 2.9 states/eV per cell

---

(B)
Entry from Alexandria: a geometry-optimized BaTi2Ru2 structure (PBE).

Unit cell a=8.0017 b=8.0017 c=3.0570 alpha=90.00 beta=90.00 gamma=90.00
Last column: nearest neighbours and their distance in Å.
Fractional coordinates of all 10 atoms:
Ru 0.8625 0.6375 0.0000  4 Ti 2.63
Ti 0.3701 0.1299 0.5000  4 Ru 2.63, 1 Ti 2.94
Ti 0.6299 0.8701 0.5000  4 Ru 2.63, 1 Ti 2.94
Ru 0.1375 0.3625 0.0000  4 Ti 2.63
Ti 0.1299 0.6299 0.5000  4 Ru 2.63, 1 Ti 2.94
Ru 0.3625 0.8625 0.0000  4 Ti 2.63
Ba 0.0000 0.0000 0.0000  2 Ba 3.06, 4 Ru 3.10
Ti 0.8701 0.3701 0.5000  4 Ru 2.63, 1 Ti 2.94
Ba 0.5000 0.5000 0.0000  2 Ba 3.06, 4 Ru 3.10
Ru 0.6375 0.1375 0.0000  4 Ti 2.63

Output
crystal system = tetragonal
space-group type = P4/mbm, No. 127
N(E_F) = 9.7 states/eV per cell

---

(A) ends up most stable, edging out the next structure by 0.177 eV/atom.

---

(A)
Entry from Alexandria: a geometry-optimized BaTlRu2 structure (PBE).

Unit cell a=4.8881 b=4.8881 c=10.2420 alpha=76.19 beta=76.19 gamma=90.00
Last column: nearest neighbours and their distance in Å.
Fractional coordinates of all 8 atoms:
Ru 0.3750 0.1404 0.7500  2 Ru 2.45, 2 Tl 2.70
Ba 0.2500 0.7500 0.5000  4 Tl 3.46, 8 Ru 3.59-3.69
Ru 0.8750 0.1096 0.7500  2 Ru 2.45, 2 Tl 2.70
Ru 0.8904 0.6250 0.2500  2 Ru 2.45, 2 Tl 2.70
Tl 0.0000 0.0000 0.0000  4 Ru 2.70
Tl 0.7500 0.2500 0.5000  4 Ru 2.70
Ru 0.8596 0.1250 0.2500  2 Ru 2.45, 2 Tl 2.70
Ba 0.5000 0.5000 0.0000  4 Tl 3.46, 8 Ru 3.59-3.69

Output
crystal system = tetragonal
space-group type = I-42d, No. 122
N(E_F) = 8.4 states/eV per cell

---

(B)
Entry from Alexandria: a geometry-optimized BaTlRu2 structure (PBE).

Unit cell a=5.0649 b=5.0649 c=5.0649 alpha=60.00 beta=60.00 gamma=60.00
Last column: nearest neighbours and their distance in Å.
Fractional coordinates of all 4 atoms:
Ru 0.0000 0.0000 0.0000  4 Ru 3.10, 4 Tl 3.10
Ru 0.2500 0.2500 0.2500  4 Ba 3.10, 4 Ru 3.10
Ba 0.5000 0.5000 0.5000  4 Tl 3.10, 4 Ru 3.10
Tl 0.7500 0.7500 0.7500  4 Ba 3.10, 4 Ru 3.10

Output
crystal system = cubic
space-group type = F-43m, No. 216
N(E_F) = 4.7 states/eV per cell

---

(A) ends up most stable, edging out the next structure by 0.368 eV/atom.

---

(A)
Entry from Alexandria: a geometry-optimized BaTlRu2 structure (PBE).

Unit cell a=4.7959 b=4.7959 c=3.7521 alpha=90.00 beta=90.00 gamma=90.01
Last column: nearest neighbours and their distance in Å.
Fractional coordinates of all 4 atoms:
Tl 0.5000 0.0000 0.5000  8 Ru 3.04, 4 Ba 3.39
Ru 0.5000 0.5000 0.0000  4 Ba 3.04, 4 Tl 3.04, 4 Ru 3.39
Ba 0.0000 0.5000 0.5000  8 Ru 3.04, 4 Tl 3.39
Ru 0.0000 0.0000 0.0000  4 Tl 3.04, 4 Ba 3.04, 4 Ru 3.39

Output
crystal system = tetragonal
space-group type = P4/mmm, No. 123
N(E_F) = 6.6 states/eV per cell

---

(B)
Entry from Alexandria: a geometry-optimized BaTlRu2 structure (PBE).

Unit cell a=5.6210 b=5.6210 c=5.6210 alpha=144.53 beta=119.42 gamma=72.20
Last column: nearest neighbours and their distance in Å.
Fractional coordinates of all 4 atoms:
Ba 0.7500 0.2500 0.5000  4 Ru 2.93
Ru 0.4878 0.4878 0.0000  2 Tl 2.76, 2 Ba 2.93
Tl 0.2500 0.7500 0.5000  4 Ru 2.76
Ru 0.0122 0.0122 0.0000  2 Tl 2.76, 2 Ba 2.93

Output
crystal system = orthorhombic
space-group type = Immm, No. 71
N(E_F) = 4.2 states/eV per cell

---

(A) ends up most stable, edging out the next structure by 0.064 eV/atom.